Entry 1:
## AlTlCr (PBEsol)

Data for AlTlCr after structural relaxation.

```
AlTlCr
1.0
4.485 0.000 0.000
2.242 3.884 0.000
2.242 1.295 3.662
Cr Al Tl
1 1 1
direct
0.500 0.500 0.500 Cr
0.000 0.000 0.000 Al
0.250 0.250 0.250 Tl
```

Values from the calculation:
* space-group type: F-43m, No. 216
* DFT formation energy: 0.69 eV per atom
* total moment: 3.96 μB/f.u.


Entry 2:
## AlTlCr2 (PBEsol)

Data for AlTlCr2 after structural relaxation.

```
AlTlCr2
1.0
-0.025 2.305 2.110
-1.788 -1.740 1.880
5.271 -2.452 2.742
Cr Al Tl
2 1 1
direct
0.000 0.000 0.274 Cr
0.000 0.000 0.726 Cr
0.500 0.500 0.500 Al
0.500 0.500 0.000 Tl
```

Values from the calculation:
* space-group type: P4/mmm, No. 123
* DFT formation energy: 0.47 eV per atom
* total moment: 5.52 μB/f.u.


Entry 3:
## Al3TlCr (PBEsol)

Data for Al3TlCr after structural relaxation.

```
Al3TlCr
1.0
5.162 0.000 0.000
0.000 5.162 0.000
0.000 0.000 5.162
Al Cr Tl
3 1 1
direct
0.000 0.000 0.500 Al
0.500 0.000 0.000 Al
0.000 0.500 0.000 Al
0.500 0.500 0.500 Cr
0.000 0.000 0.000 Tl
```

Values from the calculation:
* space-group type: Pm-3m, No. 221
* DFT formation energy: 1.38 eV per atom
* total moment: 4.70 μB/f.u.


Entry 4:
## TmAl6Cr6 (PBEsol)

Data for TmAl6Cr6 after structural relaxation.

```
TmAl6Cr6
1.0
4.984 0.000 0.000
2.492 6.103 0.006
2.492 0.089 6.102
Al Cr Tm
6 6 1
direct
0.000 0.655 0.345 Al
0.331 0.669 0.669 Al
0.669 0.331 0.331 Al
0.500 0.811 0.189 Al
0.500 0.189 0.811 Al
0.000 0.345 0.655 Al
0.742 0.758 0.758 Cr
0.500 0.500 0.000 Cr
0.000 0.000 0.500 Cr
0.500 0.000 0.500 Cr
0.258 0.242 0.242 Cr
0.000 0.500 0.000 Cr
0.000 0.000 0.000 Tm
```

Values from the calculation:
* space-group type: Immm, No. 71
* DFT formation energy: -0.10 eV per atom
* total moment: 0.00 μB/f.u.


Entry 5:
## TmAl8Cr4 (PBEsol)

Data for TmAl8Cr4 after structural relaxation.

```
TmAl8Cr4
1.0
-3.562 3.273 -1.281
-5.553 -0.780 3.672
0.421 5.672 3.546
Cr Al Tm
4 8 1
direct
0.500 0.000 0.500 Cr
0.000 0.000 0.500 Cr
0.000 0.500 0.000 Cr
0.500 0.500 0.000 Cr
0.500 0.221 0.779 Al
0.335 0.665 0.665 Al
0.500 0.779 0.221 Al
0.000 0.665 0.335 Al
0.721 0.779 0.779 Al
0.279 0.221 0.221 Al
0.665 0.335 0.335 Al
0.000 0.335 0.665 Al
0.000 0.000 0.000 Tm
```

Values from the calculation:
* space-group type: I4/mmm, No. 139
* DFT formation energy: -0.20 eV per atom
* total moment: 0.77 μB/f.u.


Entry 6:
## UAl20Cr2 (PBEsol)

Data for UAl20Cr2 after structural relaxation.

```
UAl20Cr2
1.0
10.084 0.000 0.000
5.042 8.733 0.000
5.042 2.911 8.234
Al Cr U
40 4 2
direct
0.682 0.950 0.950 Al
0.568 0.300 0.300 Al
0.832 0.300 0.300 Al
0.682 0.950 0.418 Al
0.386 0.114 0.386 Al
0.682 0.418 0.950 Al
0.864 0.136 0.136 Al
0.300 0.300 0.568 Al
0.950 0.950 0.418 Al
0.864 0.136 0.864 Al
0.114 0.114 0.386 Al
0.950 0.682 0.950 Al
0.625 0.625 0.625 Al
0.832 0.300 0.568 Al
0.418 0.950 0.682 Al
0.300 0.568 0.300 Al
0.568 0.300 0.832 Al
0.386 0.114 0.114 Al
0.950 0.682 0.418 Al
0.300 0.832 0.300 Al
0.832 0.568 0.300 Al
0.418 0.950 0.950 Al
0.300 0.568 0.832 Al
0.625 0.625 0.125 Al
0.136 0.136 0.864 Al
0.950 0.418 0.682 Al
0.114 0.386 0.386 Al
0.300 0.832 0.568 Al
0.386 0.386 0.114 Al
0.136 0.864 0.136 Al
0.136 0.864 0.864 Al
0.950 0.418 0.950 Al
0.114 0.386 0.114 Al
0.950 0.950 0.682 Al
0.625 0.125 0.625 Al
0.864 0.864 0.136 Al
0.568 0.832 0.300 Al
0.300 0.300 0.832 Al
0.418 0.682 0.950 Al
0.125 0.625 0.625 Al
0.125 0.125 0.625 Cr
0.125 0.625 0.125 Cr
0.625 0.125 0.125 Cr
0.125 0.125 0.125 Cr
0.500 0.500 0.500 U
0.750 0.750 0.750 U
```

Values from the calculation:
* space-group type: Fd-3m, No. 227
* DFT formation energy: -0.12 eV per atom
* total moment: 2.93 μB/f.u.


Entry 7:
## Al2CrW (PBEsol)

Data for Al2CrW after structural relaxation.

```
Al2CrW
1.0
3.103 0.000 0.000
0.000 3.103 0.000
0.000 0.000 5.819
Cr Al W
1 2 1
direct
0.000 0.000 0.508 Cr
0.500 0.500 0.265 Al
0.000 0.000 0.997 Al
0.500 0.500 0.730 W
```

Values from the calculation:
* space-group type: P4mm, No. 99
* DFT formation energy: -0.09 eV per atom
* total moment: 0.00 μB/f.u.


Entry 8:
## Al2CrW (PBEsol)

Data for Al2CrW after structural relaxation.

```
Al2CrW
1.0
-2.560 0.670 0.562
-1.319 -4.565 -0.563
1.262 1.052 4.494
W Al Cr
1 2 1
direct
0.500 0.500 0.500 W
0.000 0.500 0.000 Al
0.000 0.000 0.500 Al
0.500 0.000 0.000 Cr
```

Values from the calculation:
* space-group type: Cmmm, No. 65
* DFT formation energy: 0.10 eV per atom
* total moment: 1.42 μB/f.u.


Entry 9:
## AlCr2W (PBEsol)

Data for AlCr2W after structural relaxation.

```
AlCr2W
1.0
2.967 0.000 0.000
0.000 4.203 0.000
-1.483 -2.101 4.170
Al Cr W
1 2 1
direct
0.258 0.758 0.516 Al
0.015 0.015 0.030 Cr
0.740 0.240 0.480 Cr
0.487 0.487 0.974 W
```

Values from the calculation:
* space-group type: Imm2, No. 44
* DFT formation energy: -0.01 eV per atom
* total moment: 0.30 μB/f.u.


Entry 10:
## AlCr2W (PBEsol)

Data for AlCr2W after structural relaxation.

```
AlCr2W
1.0
3.064 0.000 0.000
0.000 4.164 0.000
0.000 0.000 4.164
W Cr Al
1 2 1
direct
0.500 0.500 0.500 W
0.000 0.000 0.500 Cr
0.000 0.500 0.000 Cr
0.500 0.000 0.000 Al
```

Values from the calculation:
* space-group type: P4/mmm, No. 123
* DFT formation energy: 0.02 eV per atom
* total moment: 2.66 μB/f.u.


Entry 11:
## AlCr2W (PBEsol)

Data for AlCr2W after structural relaxation.

```
AlCr2W
1.0
2.667 0.000 0.000
1.334 2.310 0.000
1.334 0.770 8.784
Cr Al W
2 1 1
direct
0.748 0.748 0.756 Cr
0.252 0.252 0.244 Cr
0.000 0.000 0.000 Al
0.500 0.500 0.500 W
```

Values from the calculation:
* space-group type: R-3m, No. 166
* DFT formation energy: 0.38 eV per atom
* total moment: 0.00 μB/f.u.


Entry 12:
## AlCrW2 (PBEsol)

Data for AlCrW2 after structural relaxation.

```
AlCrW2
1.0
2.668 0.002 0.004
-0.833 4.953 -0.001
-0.833 -2.405 4.329
Al Cr W
1 1 2
direct
0.500 0.000 0.000 Al
0.500 0.500 0.500 Cr
0.000 0.500 0.000 W
0.000 0.000 0.500 W
```

Values from the calculation:
* space-group type: C2/m, No. 12
* DFT formation energy: 0.12 eV per atom
* total moment: 0.00 μB/f.u.


Entry 13:
## AlCrW2 (PBEsol)

Data for AlCrW2 after structural relaxation.

```
AlCrW2
1.0
2.701 0.000 0.000
0.000 2.701 0.000
0.000 0.000 7.958
W Cr Al
2 1 1
direct
0.000 0.000 0.743 W
0.000 0.000 0.257 W
0.500 0.500 0.500 Cr
0.500 0.500 0.000 Al
```

Values from the calculation:
* space-group type: P4/mmm, No. 123
* DFT formation energy: 0.28 eV per atom
* total moment: 1.32 μB/f.u.


Entry 14:
## Al2CrW (PBEsol)

Data for Al2CrW after structural relaxation.

```
Al2CrW
1.0
-1.992 1.330 -3.603
-4.307 -0.260 -0.312
-2.394 3.603 0.056
Cr Al W
1 2 1
direct
0.000 0.000 0.000 Cr
0.250 0.250 0.250 Al
0.750 0.750 0.750 Al
0.500 0.500 0.500 W
```

Values from the calculation:
* space-group type: Fm-3m, No. 225
* DFT formation energy: 0.24 eV per atom
* total moment: 2.83 μB/f.u.


Entry 15:
## AlCrW2 (PBEsol)

Data for AlCrW2 after structural relaxation.

```
AlCrW2
1.0
-1.050 1.674 2.377
-0.786 -3.627 2.207
4.874 1.121 -0.646
W Cr Al
2 1 1
direct
0.263 0.263 0.525 W
0.737 0.737 0.475 W
0.000 0.500 0.000 Cr
0.500 0.000 0.000 Al
```

Values from the calculation:
* space-group type: Immm, No. 71
* DFT formation energy: 0.01 eV per atom
* total moment: 0.76 μB/f.u.


Entry 16:
## AlCrW (PBEsol)

Data for AlCrW after structural relaxation.

```
AlCrW
1.0
-2.595 -0.574 1.561
1.634 -1.422 2.193
0.923 4.791 0.254
Cr W Al
1 1 1
direct
0.677 0.677 0.354 Cr
0.318 0.318 0.636 W
0.005 0.005 0.009 Al
```

Values from the calculation:
* space-group type: I4mm, No. 107
* DFT formation energy: -0.02 eV per atom
* total moment: 0.01 μB/f.u.


Entry 17:
## Al2CrW (PBEsol)

Data for Al2CrW after structural relaxation.

```
Al2CrW
1.0
-2.984 2.067 -2.219
-0.181 -0.423 -4.230
-3.200 -2.160 -1.787
W Cr Al
1 1 2
direct
0.250 0.250 0.250 W
0.500 0.500 0.500 Cr
0.750 0.750 0.750 Al
0.000 0.000 0.000 Al
```

Values from the calculation:
* space-group type: F-43m, No. 216
* DFT formation energy: -0.04 eV per atom
* total moment: 0.00 μB/f.u.


Entry 18:
## AlCrW (PBEsol)

Data for AlCrW after structural relaxation.

```
AlCrW
1.0
-0.694 -1.706 -1.901
3.957 0.086 -1.521
-1.076 -2.850 2.949
W Cr Al
1 1 1
direct
0.389 0.667 0.333 W
0.641 0.333 0.667 Cr
0.970 0.000 0.000 Al
```

Values from the calculation:
* space-group type: P3m1, No. 156
* DFT formation energy: -0.01 eV per atom
* total moment: 0.00 μB/f.u.


Entry 19:
## Al2CrW (PBEsol)

Data for Al2CrW after structural relaxation.

```
Al2CrW
1.0
2.717 0.000 0.000
0.000 3.961 0.000
0.000 0.000 5.289
W Cr Al
1 1 2
direct
0.500 0.500 0.500 W
0.500 0.500 0.000 Cr
0.000 0.000 0.244 Al
0.000 0.000 0.756 Al
```

Values from the calculation:
* space-group type: Pmmm, No. 47
* DFT formation energy: 0.10 eV per atom
* total moment: 1.50 μB/f.u.


Entry 20:
## Y3AlCr (PBEsol)

Data for Y3AlCr after structural relaxation.

```
Y3AlCr
1.0
5.435 0.000 0.000
0.000 5.435 0.000
0.000 0.000 5.435
Y Al Cr
3 1 1
direct
0.000 0.000 0.500 Y
0.500 0.000 0.000 Y
0.000 0.500 0.000 Y
0.000 0.000 0.000 Al
0.500 0.500 0.500 Cr
```

Values from the calculation:
* space-group type: Pm-3m, No. 221
* DFT formation energy: 0.79 eV per atom
* total moment: 6.66 μB/f.u.


Entry 21:
## Y2AlCr (PBEsol)

Data for Y2AlCr after structural relaxation.

```
Y2AlCr
1.0
-0.389 -2.733 1.987
-0.453 -3.067 -1.397
8.885 -3.268 0.154
Al Cr Y
1 1 2
direct
0.500 0.500 0.500 Al
0.000 0.000 0.000 Cr
0.746 0.746 0.762 Y
0.254 0.254 0.238 Y
```

Values from the calculation:
* space-group type: R-3m, No. 166
* DFT formation energy: 0.33 eV per atom
* total moment: 3.09 μB/f.u.


Entry 22:
## YAl2Cr (PBEsol)

Data for YAl2Cr after structural relaxation.

```
YAl2Cr
1.0
3.197 0.000 0.000
0.000 3.197 0.000
0.000 0.000 7.115
Al Cr Y
2 1 1
direct
0.500 0.500 0.274 Al
0.000 0.000 0.045 Al
0.000 0.000 0.452 Cr
0.500 0.500 0.729 Y
```

Values from the calculation:
* space-group type: P4mm, No. 99
* DFT formation energy: 0.04 eV per atom
* total moment: 2.45 μB/f.u.


Entry 23:
## YAlCr4 (PBEsol)

Data for YAlCr4 after structural relaxation.

```
YAlCr4
1.0
4.948 0.000 0.000
2.474 4.285 0.000
2.474 1.428 4.040
Cr Y Al
4 1 1
direct
0.374 0.374 0.878 Cr
0.374 0.374 0.374 Cr
0.374 0.878 0.374 Cr
0.878 0.374 0.374 Cr
0.750 0.750 0.750 Y
0.000 0.000 0.000 Al
```

Values from the calculation:
* space-group type: F-43m, No. 216
* DFT formation energy: 0.23 eV per atom
* total moment: 0.00 μB/f.u.


Entry 24:
## YAl8Cr4 (PBEsol)

Data for YAl8Cr4 after structural relaxation.

```
YAl8Cr4
1.0
-4.292 0.917 -2.406
-0.063 -2.742 -6.139
-4.589 -4.776 1.160
Al Cr Y
8 4 1
direct
0.336 0.664 0.664 Al
0.664 0.336 0.336 Al
0.000 0.664 0.336 Al
0.722 0.778 0.778 Al
0.278 0.222 0.222 Al
0.000 0.336 0.664 Al
0.500 0.222 0.778 Al
0.500 0.778 0.222 Al
0.500 0.500 0.000 Cr
0.000 0.000 0.500 Cr
0.000 0.500 0.000 Cr
0.500 0.000 0.500 Cr
0.000 0.000 0.000 Y
```

Values from the calculation:
* space-group type: I4/mmm, No. 139
* DFT formation energy: -0.20 eV per atom
* total moment: 1.12 μB/f.u.


Entry 25:
## YAl2Cr (PBEsol)

Data for YAl2Cr after structural relaxation.

```
YAl2Cr
1.0
-0.973 3.274 2.407
0.904 -2.238 3.411
4.083 1.356 -0.193
Al Y Cr
2 1 1
direct
0.000 0.500 0.000 Al
0.500 0.000 0.000 Al
0.000 0.000 0.500 Y
0.500 0.500 0.500 Cr
```

Values from the calculation:
* space-group type: P4/mmm, No. 123
* DFT formation energy: -0.02 eV per atom
* total moment: 3.62 μB/f.u.


Entry 26:
## YAlCr3 (PBEsol)

Data for YAlCr3 after structural relaxation.

```
YAlCr3
1.0
-2.866 2.393 2.607
1.358 -2.355 3.653
3.268 3.077 0.768
Cr Y Al
3 1 1
direct
0.500 0.000 0.000 Cr
0.000 0.500 0.000 Cr
0.000 0.000 0.500 Cr
0.500 0.500 0.500 Y
0.000 0.000 0.000 Al
```

Values from the calculation:
* space-group type: Pm-3m, No. 221
* DFT formation energy: 1.09 eV per atom
* total moment: 8.32 μB/f.u.